[1]
The following is a PBE calculation of a relaxed structure of Sm5Ho12Hg2, from Alexandria via LeMat-Bulk.

Crystal system ... monoclinic
Space-group type ... No. 12
Calculated volume ... 608 Å³/cell
DOS at the Fermi energy ... 1.30 states/eV/atom
Formation energy ... 138 kJ/mol of formula units

Cell: 9.393 9.393 8.631 Å, 99.89 99.89 54.41°
Fractional positions:
Sm 0.000 0.000 0.000
Sm 0.289 0.289 0.519
Sm 0.293 0.293 0.972
Sm 0.707 0.707 0.028
Sm 0.711 0.711 0.481
Ho 0.027 0.638 0.803
Ho 0.066 0.066 0.406
Ho 0.077 0.671 0.234
Ho 0.329 0.923 0.766
Ho 0.362 0.973 0.197
Ho 0.478 0.478 0.807
Ho 0.522 0.522 0.193
Ho 0.638 0.027 0.803
Ho 0.671 0.077 0.234
Ho 0.923 0.329 0.766
Ho 0.934 0.934 0.594
Ho 0.973 0.362 0.197
Hg 0.331 0.669 0.500
Hg 0.669 0.331 0.500

[2]
The following is a PBE calculation of a relaxed structure of LiGdSc, from Alexandria via LeMat-Bulk.

Crystal system ... trigonal
Space-group type ... No. 156
Calculated volume ... 79 Å³/cell
DOS at the Fermi energy ... 1.47 states/eV/atom
Formation energy ... 42 kJ/mol of formula units
Polymorph energy (0 for the lowest one) ... 32.5 meV/atom

Cell: 3.358 3.358 8.088 Å, 90.00 90.00 120.00°
Fractional positions:
Li 0.000 0.000 0.000
Gd 0.667 0.333 0.348
Sc 0.333 0.667 0.681

[3]
The following is a PBE calculation of a relaxed structure of LiCa3Zn, from Alexandria via LeMat-Bulk.

Crystal system ... monoclinic
Space-group type ... No. 11
Calculated volume ... 319 Å³/cell
DOS at the Fermi energy ... 0.74 states/eV/atom
Formation energy ... -36 kJ/mol of formula units
Polymorph energy (0 for the lowest one) ... 0.0 meV/atom

Cell: 9.009 4.100 9.153 Å, 90.00 109.15 90.00°
Fractional positions:
Li 0.132 0.250 0.283
Li 0.868 0.750 0.717
Ca 0.170 0.250 0.927
Ca 0.188 0.750 0.579
Ca 0.438 0.750 0.288
Ca 0.562 0.250 0.712
Ca 0.812 0.250 0.421
Ca 0.830 0.750 0.073
Zn 0.439 0.750 0.915
Zn 0.561 0.250 0.085

[4]
The following is a PBE calculation of a relaxed structure of Th2BeGe, from Alexandria via LeMat-Bulk.

Crystal system ... trigonal
Space-group type ... No. 166
Calculated volume ... 128 Å³/cell
DOS at the Fermi energy ... 1.43 states/eV/atom
Formation energy ... 238 kJ/mol of formula units

Cell: 9.925 9.925 9.925 Å, 22.71 22.71 22.71°
Fractional positions:
Th 0.103 0.103 0.103
Th 0.897 0.897 0.897
Be 0.000 0.000 0.000
Ge 0.500 0.500 0.500